A geometry-optimized La2ZrH structure. Source: Alexandria, functional PBE.

The relative energy among the computed polymorphs is 0.0 meV per atom. The calculation puts the calculated total energy at -5.327 eV per atom. The value obtained for the density of states at the Fermi level is 6.4 states/eV/f.u.

The structure belongs to space group I-42d (No. 122); the cell edges are 7.3431, 7.3431 and 7.4858 Å and the angles 90.00°, 90.00° and 90.00°. The asymmetric unit holds La at (0.1457, 0.2500, 0.1250), Zr at (0.0000, 0.0000, 0.5000) and H at (0.0000, 0.0000, 0.0000).